Cs2SmAgBr6 after structural relaxation, computed with PBE.

Output
Raw formation energy: -1515 kJ/mol of formula units
Uncorrected energy: -3.50 eV per atom
Crystal system: monoclinic
Total magnetization: 0.00 μB/f.u.

abc: 8.060 8.056 14.126
angles: 90.00 124.65 90.00
Space group P2_1/c (No. 14)
Symmetry-distinct sites (fractional):
Cs 0.245 0.023 0.249 [4 per cell]
Sm 0.500 0.000 0.000 [2 per cell]
Ag 0.000 0.000 0.500 [2 per cell]
Br 0.204 0.222 0.980 [4 per cell]
Br 0.260 0.723 0.982 [4 per cell]
Br 0.292 0.000 0.755 [4 per cell]

CsSmAgBr5 after structural relaxation, computed with PBE.

Output
Raw formation energy: -1147 kJ/mol of formula units
Uncorrected energy: -3.58 eV per atom
Crystal system: monoclinic
Total magnetization: 0.00 μB/f.u.

abc: 9.624 13.308 10.957
angles: 90.00 111.24 90.00
Space group C2/c (No. 15)
Symmetry-distinct sites (fractional):
Cs 0.000 0.156 0.250 [4 per cell]
Sm 0.000 0.500 0.000 [4 per cell]
Ag 0.000 0.188 0.750 [4 per cell]
Br 0.000 0.432 0.250 [4 per cell]
Br 0.100 0.301 0.592 [8 per cell]
Br 0.197 0.064 0.934 [8 per cell]

CsAg3Sn4Br12 after structural relaxation, computed with PBE.

Output
Raw formation energy: -1380 kJ/mol of formula units
Uncorrected energy: -2.99 eV per atom
Crystal system: cubic
Total magnetization: 0.00 μB/f.u.

abc: 11.116 11.116 11.116
angles: 90.00 90.00 90.00
Space group Im-3 (No. 204)
Symmetry-distinct sites (fractional):
Cs 0.000 0.000 0.000 [2 per cell]
Ag 0.000 0.000 0.500 [6 per cell]
Sn 0.250 0.250 0.250 [8 per cell]
Br 0.000 0.172 0.315 [24 per cell]

Cs2AgSnBr5 after structural relaxation, computed with PBE.

Output
Raw formation energy: -1000 kJ/mol of formula units
Uncorrected energy: -3.03 eV per atom
Crystal system: orthorhombic
Total magnetization: 0.00 μB/f.u.

abc: 4.613 20.973 14.753
angles: 90.00 90.00 90.00
Space group Cmc2_1 (No. 36)
Symmetry-distinct sites (fractional):
Cs 0.000 0.110 0.000 [4 per cell]
Cs 0.000 0.129 0.621 [4 per cell]
Ag 0.000 0.446 0.764 [4 per cell]
Sn 0.000 0.206 0.327 [4 per cell]
Br 0.000 0.054 0.360 [4 per cell]
Br 0.000 0.286 0.962 [4 per cell]
Br 0.000 0.308 0.688 [4 per cell]
Br 0.000 0.341 0.313 [4 per cell]
Br 0.000 0.499 0.602 [4 per cell]